Entry 1:
A relaxed LaSnNO2 crystal, computed with PBE.

Results
* energy relative to the elements, uncorrected: -1613 meV/atom
* crystal system: tetragonal

a = 4.1065 Å, b = 4.1065 Å, c = 4.1485 Å
α = 90.00°, β = 90.00°, γ = 90.00°
With the nearest neighbours (Å) after each atom.
Space group P4/mmm (No. 123)
One atom of each set of equivalent atoms:
1 La 0.0000 0.0000 0.0000 x1  4 N 2.90, 8 O 2.92
2 Sn 0.5000 0.5000 0.5000 x1  4 O 2.05, 2 N 2.07
3 N 0.5000 0.5000 0.0000 x1  2 Sn 2.07
4 O 0.0000 0.5000 0.5000 x2  2 Sn 2.05



Entry 2:
A relaxed LiCa5Cd2 crystal, computed with PBE.

Results
* energy of formation from the pure elements: -1.2 eV per formula unit
* crystal system: orthorhombic

a = 7.0247 Å, b = 13.4889 Å, c = 5.3716 Å
α = 90.00°, β = 90.00°, γ = 90.00°
With the nearest neighbours (Å) after each atom.
Space group Pbam (No. 55)
One atom of each set of equivalent atoms:
1 Li 0.0000 0.0000 0.0000 x2  8 Ca 3.18-3.51
2 Ca 0.0000 0.5000 0.0000 x2  4 Cd 3.42, 2 Li 3.51, 6 Ca 3.78-3.81
3 Ca 0.1224 0.2273 0.0000 x4  1 Li 3.18, 2 Cd 3.34, 2 Ca 3.57
4 Ca 0.1781 0.8907 0.5000 x4  2 Li 3.31, 4 Cd 3.40-3.65
5 Cd 0.1606 0.6323 0.5000 x4  8 Ca 3.34-3.65



Entry 3:
A relaxed MgAl2Cr2 crystal, computed with PBE.

Results
* energy of formation from the pure elements: 0.5 eV per formula unit
* crystal system: tetragonal

a = 7.2894 Å, b = 7.2894 Å, c = 2.9882 Å
α = 90.00°, β = 90.00°, γ = 90.00°
With the nearest neighbours (Å) after each atom.
Space group P4/mbm (No. 127)
One atom of each set of equivalent atoms:
1 Mg 0.0000 0.0000 0.0000 x2  4 Al 2.87, 2 Mg 2.99, 8 Cr 3.09
2 Al 0.1272 0.3728 0.0000 x4  6 Cr 2.57-2.65, 1 Al 2.62, 2 Mg 2.87
3 Cr 0.1694 0.6694 0.5000 x4  6 Al 2.57-2.65